No. 1
The following is a DFT calculation (PBE-GGA) of crystalline ErHg3 at its relaxed geometry.

Computed properties:
Mass density: 13474 kg/m3
DOS(E_F): 1.13 states/eV per atom
Space group: Cmcm (63)
Formation enthalpy at 0 K: -321 meV/atom

a b c (Å): 5.0130 6.6100 6.6093
angles (deg): 120.06 90.00 90.00
Closest atoms and distances in Å follow each position.
Fractional coordinates of all 8 atoms:
1 Hg 0.7500 0.9580 0.2912  4 Er 3.15-3.31, 8 Hg 3.15-3.31
2 Er 0.2500 0.7915 0.9580  12 Hg 3.15-3.31
3 Hg 0.2500 0.2922 0.4579  4 Er 3.15-3.30, 8 Hg 3.15-3.31
4 Hg 0.2500 0.2920 0.9588  4 Er 3.15-3.31, 8 Hg 3.15-3.31
5 Hg 0.7500 0.4583 0.7921  4 Er 3.15-3.31, 8 Hg 3.15-3.31
6 Hg 0.2500 0.7917 0.4579  4 Er 3.15-3.31, 8 Hg 3.15-3.31
7 Hg 0.7500 0.9578 0.7921  4 Er 3.15-3.30, 8 Hg 3.15-3.31
8 Er 0.7500 0.4585 0.2920  12 Hg 3.15-3.31

No. 2
The following is a DFT calculation (PBE-GGA) of crystalline Er2Hg3 at its relaxed geometry.

Computed properties:
Mass density: 12528 kg/m3
Polymorph energy (0 for the lowest one): 0.20 eV per formula unit
DOS(E_F): 0.56 states/eV per atom
Space group: R-3m (166)
Formation enthalpy at 0 K: -368 meV/atom

a b c (Å): 4.9303 4.9303 6.5466
angles (deg): 67.88 67.88 60.00
Closest atoms and distances in Å follow each position.
Fractional coordinates of all 5 atoms:
1 Hg 0.1986 0.1986 0.4041  3 Hg 3.06, 3 Er 3.08
2 Er 0.5979 0.5979 0.2064  6 Hg 3.08-3.10
3 Hg 0.0000 0.0000 0.0000  6 Er 3.10
4 Er 0.4021 0.4021 0.7936  6 Hg 3.08-3.10
5 Hg 0.8014 0.8014 0.5959  3 Hg 3.06, 3 Er 3.08

The calculation returns the following total magnetization values, one per record and in order: 0.000 0.000 μB/atom.
The calculation returns the following E_tot values, one per record and in order: -1.69 -2.37 eV/atom.